Entry 1:
A plane-wave DFT calculation with PBE was carried out for an optimized crystal structure of CeGdCu.

The energy above the most stable polymorph in this dataset is 0.00 eV/f.u. The value obtained for the formation energy is -0.030 eV/atom.

It has space group I4mm (No. 107), with a = 3.508 Å, b = 3.508 Å, c = 12.220 Å, α = 90.00°, β = 90.00° and γ = 90.00°. The inequivalent atoms are Ce at (0.000, 0.000, 0.000), Gd at (0.000, 0.000, 0.714) and Cu at (0.000, 0.000, 0.354).

---

Entry 2:
A plane-wave DFT calculation with PBE was carried out for an optimized crystal structure of CeGdCu2.

The energy above the most stable polymorph in this dataset is 0.02 eV/f.u. The value obtained for the formation energy is -0.106 eV/atom.

It has space group Fm-3m (No. 225), with a = 7.037 Å, b = 7.037 Å, c = 7.037 Å, α = 90.00°, β = 90.00° and γ = 90.00°. The inequivalent atoms are Ce at (0.000, 0.000, 0.000), Gd at (0.000, 0.000, 0.500) and Cu at (0.250, 0.250, 0.250).

---

Entry 3:
A plane-wave DFT calculation with PBE was carried out for an optimized crystal structure of CeGd2Cu.

The energy above the most stable polymorph in this dataset is 0.70 eV/f.u. The value obtained for the formation energy is 0.134 eV/atom.

It has space group P4/mmm (No. 123), with a = 5.357 Å, b = 5.357 Å, c = 3.501 Å, α = 90.00°, β = 90.00° and γ = 90.00°. The inequivalent atoms are Ce at (0.000, 0.000, 0.000), Gd at (0.000, 0.500, 0.500) and Cu at (0.500, 0.500, 0.000).

---

Entry 4:
A plane-wave DFT calculation with PBE was carried out for an optimized crystal structure of CeGd2Cu.

The energy above the most stable polymorph in this dataset is 1.86 eV/f.u. The value obtained for the formation energy is 0.423 eV/atom.

It has space group R-3m (No. 166, hexagonal axes), with a = 3.4139 Å, b = 3.4139 Å, c = 33.3073 Å, α = 90.00°, β = 90.00° and γ = 120.00°. The inequivalent atoms are Ce at (0.0000, 0.0000, 0.0000), Gd at (0.0000, 0.0000, 0.4166) and Cu at (0.0000, 0.0000, 0.5000).

---

Entry 5:
A plane-wave DFT calculation with PBE was carried out for an optimized crystal structure of CeGdCu.

The energy above the most stable polymorph in this dataset is 0.43 eV/f.u. The value obtained for the formation energy is 0.114 eV/atom.

It has space group P3m1 (No. 156), with a = 4.7506 Å, b = 4.7506 Å, c = 3.5826 Å, α = 90.00°, β = 90.00° and γ = 120.00°. The inequivalent atoms are Ce at (0.0000, 0.0000, 0.0000), Gd at (0.3333, 0.6667, 0.3754) and Cu at (0.6667, 0.3333, 0.6877).

---

Entry 6:
A plane-wave DFT calculation with PBE was carried out for an optimized crystal structure of CeGdCu2.

The energy above the most stable polymorph in this dataset is 0.00 eV/f.u. The value obtained for the formation energy is -0.112 eV/atom.

It has space group P4/mmm (No. 123), with a = 3.462 Å, b = 3.462 Å, c = 7.257 Å, α = 90.00°, β = 90.00° and γ = 90.00°. The inequivalent atoms are Ce at (0.000, 0.000, 0.000), Gd at (0.000, 0.000, 0.500) and Cu at (0.500, 0.500, 0.257).

---

Entry 7:
A plane-wave DFT calculation with PBE was carried out for an optimized crystal structure of CeGd2Cu.

The energy above the most stable polymorph in this dataset is 0.00 eV/f.u. The value obtained for the formation energy is -0.041 eV/atom.

It has space group P4/mmm (No. 123), with a = 3.504 Å, b = 3.504 Å, c = 8.478 Å, α = 90.00°, β = 90.00° and γ = 90.00°. The inequivalent atoms are Ce at (0.000, 0.000, 0.000), Gd at (0.500, 0.500, 0.295) and Cu at (0.000, 0.000, 0.500).

---

Entry 8:
A plane-wave DFT calculation with PBE was carried out for an optimized crystal structure of CeGdCuGe.

The value obtained for the formation energy is -0.421 eV/atom.

It has space group F-43m (No. 216), with a = 7.162 Å, b = 7.162 Å, c = 7.162 Å, α = 90.00°, β = 90.00° and γ = 90.00°. The inequivalent atoms are Ce at (0.000, 0.000, 0.000), Gd at (0.000, 0.000, 0.500), Cu at (0.250, 0.250, 0.750) and Ge at (0.250, 0.250, 0.250).

---

Entry 9:
A plane-wave DFT calculation with PBE was carried out for an optimized crystal structure of CeGdInCu.

The value obtained for the formation energy is -0.190 eV/atom.

It has space group F-43m (No. 216), with a = 7.423 Å, b = 7.423 Å, c = 7.423 Å, α = 90.00°, β = 90.00° and γ = 90.00°. The inequivalent atoms are Ce at (0.000, 0.000, 0.000), Gd at (0.000, 0.000, 0.500), In at (0.250, 0.250, 0.250) and Cu at (0.250, 0.250, 0.750).

---

Entry 10:
A plane-wave DFT calculation with PBE was carried out for an optimized crystal structure of CeGdCuPt.

The value obtained for the formation energy is -0.610 eV/atom.

It has space group F-43m (No. 216), with a = 7.082 Å, b = 7.082 Å, c = 7.082 Å, α = 90.00°, β = 90.00° and γ = 90.00°. The inequivalent atoms are Ce at (0.000, 0.000, 0.000), Gd at (0.000, 0.000, 0.500), Cu at (0.250, 0.250, 0.250) and Pt at (0.250, 0.250, 0.750).

---

Entry 11:
A plane-wave DFT calculation with PBE was carried out for an optimized crystal structure of CeGdCuRe.

The value obtained for the formation energy is 0.051 eV/atom.

It has space group F-43m (No. 216), with a = 6.957 Å, b = 6.957 Å, c = 6.957 Å, α = 90.00°, β = 90.00° and γ = 90.00°. The inequivalent atoms are Ce at (0.000, 0.000, 0.000), Gd at (0.000, 0.000, 0.500), Cu at (0.250, 0.250, 0.750) and Re at (0.250, 0.250, 0.250).

---

Entry 12:
A plane-wave DFT calculation with PBE was carried out for an optimized crystal structure of CeGdCuSi.

For the final energy, the calculation gives -7.73 eV per atom.

It has space group F-43m (No. 216), with a = 7.096 Å, b = 7.096 Å, c = 7.096 Å, α = 90.00°, β = 90.00° and γ = 90.00°. The inequivalent atoms are Ce at (0.000, 0.000, 0.000), Gd at (0.000, 0.000, 0.500), Cu at (0.250, 0.250, 0.750) and Si at (0.250, 0.250, 0.250).

---

Question: What is the formula in the sixth record?
Answer: CeGdCu2

---

Question: Number 2 is which compound?
Answer: CeGdCu2

---

Question: Which formula does entry 1 have?
Answer: CeGdCu